No. 1
VASP calculation (PBE) on crystalline Sb8Au9 at its relaxed geometry.

Structure (extended XYZ):
```
17
Lattice="-0.757 -5.990 6.187 -6.893 0.021 5.217 -5.972 -6.211 -0.703" Properties=species:S:1:pos:R:3 pbc="T T T"
Sb -10.217 -9.134 8.026
Sb -10.052 -6.143 4.902
Sb -7.260 -6.025 8.591
Sb -6.855 -2.818 5.279
Sb -6.767 -9.361 5.422
Sb -3.570 -6.036 5.798
Sb -3.406 -3.045 2.675
Sb -6.362 -6.154 2.110
Au -5.539 -4.521 7.024
Au -8.123 -4.630 3.610
Au -5.499 -7.549 7.090
Au -5.124 -4.581 4.025
Au 0.000 0.000 0.000
Au -8.498 -7.598 6.676
Au -8.083 -7.658 3.676
Au -8.539 -4.570 6.610
Au -5.083 -7.609 4.091
```

Computed properties:
The uncorrected energy comes out at -61.6 eV per formula unit. The space-group type is No. 225.

=====

No. 2
VASP calculation (PBE) on crystalline LaDyPO at its relaxed geometry.

Structure (extended XYZ):
```
8
Lattice="4.236 0.000 0.000 0.000 4.236 0.000 0.000 0.000 9.217" Properties=species:S:1:pos:R:3 pbc="T T T"
La 0.000 0.000 4.609
La 2.118 2.118 4.609
Dy 2.118 0.000 8.302
Dy 0.000 2.118 0.915
P 2.118 0.000 2.607
P 0.000 2.118 6.610
O 0.000 0.000 0.000
O 2.118 2.118 0.000
```

Computed properties:
The value obtained for the size of the total moment is 0.0 μB/cell. As for the polymorph energy (0 for the lowest one): 229.1 meV per atom. The space-group type is No. 129.